1.
ScIrRu2 | PBE | relaxed

Values from the calculation:
- DOS(E_F) (states/eV per cell) = 10.1
- symmetry = I-4m2 (119)
- formation enthalpy at 0 K (kJ/mol of atoms) = -22.5

The structure in POSCAR format:
```
ScIrRu2
1.0
3.920 0.000 0.000
0.000 3.920 0.000
0.000 0.000 7.956
Sc Ir Ru
2 2 4
direct
0.000 0.000 0.000 Sc
0.500 0.500 0.500 Sc
0.000 0.500 0.750 Ir
0.500 0.000 0.250 Ir
0.000 0.000 0.500 Ru
0.000 0.500 0.250 Ru
0.500 0.000 0.750 Ru
0.500 0.500 0.000 Ru
```

---

2.
Pu4Tc2Pd | PBE | relaxed

Values from the calculation:
- DOS(E_F) (states/eV per cell) = 46.1
- symmetry = I-42d (122)
- formation enthalpy at 0 K (kJ/mol of atoms) = 1.4

The structure in POSCAR format:
```
Pu4Tc2Pd
1.0
-4.237 4.237 4.201
4.237 -4.237 4.201
4.237 4.237 -4.201
Pu Tc Pd
8 4 2
direct
0.136 0.736 0.740 Pu
0.145 0.246 0.760 Pu
0.264 0.004 0.400 Pu
0.486 0.386 0.240 Pu
0.605 0.864 0.600 Pu
0.614 0.855 0.100 Pu
0.754 0.514 0.900 Pu
0.996 0.395 0.260 Pu
0.212 0.625 0.087 Tc
0.375 0.462 0.587 Tc
0.538 0.125 0.913 Tc
0.875 0.788 0.413 Tc
0.000 0.000 0.000 Pd
0.750 0.250 0.500 Pd
```

---

3.
InAs2P | PBE | relaxed

Values from the calculation:
- DOS(E_F) (states/eV per cell) = 7.9
- symmetry = Fm-3m (225)
- formation enthalpy at 0 K (kJ/mol of atoms) = 46.3

The structure in POSCAR format:
```
InAs2P
1.0
6.802 0.000 0.000
0.000 6.802 0.000
0.000 0.000 6.802
In As P
4 8 4
direct
0.000 0.000 0.000 In
0.000 0.500 0.500 In
0.500 0.000 0.500 In
0.500 0.500 0.000 In
0.250 0.250 0.250 As
0.250 0.250 0.750 As
0.250 0.750 0.250 As
0.250 0.750 0.750 As
0.750 0.250 0.250 As
0.750 0.250 0.750 As
0.750 0.750 0.250 As
0.750 0.750 0.750 As
0.000 0.000 0.500 P
0.000 0.500 0.000 P
0.500 0.000 0.000 P
0.500 0.500 0.500 P
```

---

4.
CeHoGe4 | PBE | relaxed

Values from the calculation:
- DOS(E_F) (states/eV per cell) = 8.6
- symmetry = F-43m (216)
- formation enthalpy at 0 K (kJ/mol of atoms) = -32.3

The structure in POSCAR format:
```
CeHoGe4
1.0
0.000 3.970 3.970
3.970 0.000 3.970
3.970 3.970 0.000
Ce Ho Ge
1 1 4
direct
0.000 0.000 0.000 Ce
0.750 0.750 0.750 Ho
0.376 0.376 0.376 Ge
0.376 0.376 0.871 Ge
0.376 0.871 0.376 Ge
0.871 0.376 0.376 Ge
```

---

5.
SrPmMgHg | PBE | relaxed

Values from the calculation:
- DOS(E_F) (states/eV per cell) = 13.5
- symmetry = F-43m (216)
- formation enthalpy at 0 K (kJ/mol of atoms) = -22.9

The structure in POSCAR format:
```
SrPmMgHg
1.0
7.876 0.000 0.000
0.000 7.876 0.000
0.000 0.000 7.876
Sr Pm Mg Hg
4 4 4 4
direct
0.000 0.000 0.000 Sr
0.000 0.500 0.500 Sr
0.500 0.000 0.500 Sr
0.500 0.500 0.000 Sr
0.000 0.000 0.500 Pm
0.000 0.500 0.000 Pm
0.500 0.000 0.000 Pm
0.500 0.500 0.500 Pm
0.250 0.250 0.250 Mg
0.250 0.750 0.750 Mg
0.750 0.250 0.750 Mg
0.750 0.750 0.250 Mg
0.250 0.250 0.750 Hg
0.250 0.750 0.250 Hg
0.750 0.250 0.250 Hg
0.750 0.750 0.750 Hg
```

---

6.
ZnIn2Cu | PBE | relaxed

Values from the calculation:
- DOS(E_F) (states/eV per cell) = 3.6
- symmetry = R-3m (166)
- formation enthalpy at 0 K (kJ/mol of atoms) = 10.1

The structure in POSCAR format:
```
ZnIn2Cu
1.0
3.302 0.000 0.000
-1.651 2.860 0.000
0.000 0.000 25.411
Zn In Cu
3 6 3
direct
0.000 0.000 0.000 Zn
0.333 0.667 0.667 Zn
0.667 0.333 0.333 Zn
0.000 0.000 0.245 In
0.000 0.000 0.755 In
0.333 0.667 0.421 In
0.333 0.667 0.912 In
0.667 0.333 0.088 In
0.667 0.333 0.579 In
0.000 0.000 0.500 Cu
0.333 0.667 0.167 Cu
0.667 0.333 0.833 Cu
```

---

Number 1: M_tot 0.00 μB per cell, energy -8.669 eV per atom. Number 2: M_tot 37.78 μB per cell, energy -11.878 eV per atom. Number 3: M_tot 0.00 μB per cell, energy -3.882 eV per atom. Number 4: M_tot 0.32 μB per cell, energy -5.165 eV per atom. Number 5: M_tot 0.00 μB per cell, energy -2.320 eV per atom. Number 6: M_tot 0.00 μB per cell, energy -2.607 eV per atom.